i) VASP calculation (PBE) on a relaxed BaGaBi3 crystal.

Cell and atoms, written as POSCAR:
```
BaGaBi3
1.0
6.9672 0.0000 0.0000
0.0000 7.0430 0.0000
-0.0123 0.0000 7.1381
Ba Ga Bi
2 2 6
Cartesian
1.7348 0.0000 1.6063
5.2201 3.5215 5.5318
1.7315 2.3195 4.3812
5.2234 5.8410 2.7569
0.0064 3.3978 2.1579
1.7345 4.4104 6.3700
3.4666 3.3946 2.1587
3.4883 6.9161 4.9794
5.2204 0.8889 0.7681
6.9485 6.9192 4.9802
```

ρ: 7.9 Mg/m³
Total magnetic moment: 0.000 μB/atom

***

ii) VASP calculation (PBE) on a relaxed BaGaBi3 crystal.

Cell and atoms, written as POSCAR:
```
BaGaBi3
1.0
5.6402 0.0000 0.0000
0.0000 5.6402 0.0000
0.0000 0.0000 5.6402
Ba Ga Bi
1 1 3
Cartesian
0.0000 0.0000 0.0000
2.8201 2.8201 2.8201
0.0000 2.8201 2.8201
2.8201 0.0000 2.8201
2.8201 2.8201 0.0000
```

ρ: 7.7 Mg/m³
Total magnetic moment: 0.000 μB/atom

***

iii) VASP calculation (PBE) on a relaxed BaGaBi3 crystal.

Cell and atoms, written as POSCAR:
```
BaGaBi3
1.0
6.3906 0.0000 0.0000
0.0000 6.3906 0.0000
0.0000 0.0000 6.3906
Ba Ga Bi
1 1 3
Cartesian
0.0000 0.0000 0.0000
3.1953 3.1953 3.1953
0.0000 0.0000 3.1953
0.0000 3.1953 0.0000
3.1953 0.0000 0.0000
```

ρ: 5.3 Mg/m³
Total magnetic moment: 0.000 μB/atom

***

Which structure is the least stable? The one labeled iii).

***

i) VASP calculation (PBE) on a relaxed Ba2GaBi2 crystal.

Cell and atoms, written as POSCAR:
```
Ba2GaBi2
1.0
2.4934 -9.0720 0.0000
2.4934 9.0720 0.0000
0.0000 0.0000 9.1694
Ba Ga Bi
4 2 4
Cartesian
2.4934 8.5336 4.5847
2.4934 5.2975 7.7237
2.4934 -5.2975 3.1390
2.4934 -8.5336 0.0000
2.4934 1.5540 5.8709
2.4934 -1.5540 1.2861
2.4934 6.1110 1.9862
2.4934 1.1376 2.6377
2.4934 -1.1376 7.2224
2.4934 -6.1110 6.5710
```

ρ: 6.1 Mg/m³
Total magnetic moment: 0.000 μB/atom

***

ii) VASP calculation (PBE) on a relaxed Ba2GaBi2 crystal.

Cell and atoms, written as POSCAR:
```
Ba2GaBi2
1.0
8.6321 0.0000 0.0000
0.0000 8.6321 0.0000
0.0000 0.0000 5.1645
Ba Ga Bi
4 2 4
Cartesian
1.5287 2.7874 0.0000
2.7874 7.1034 0.0000
5.8448 1.5287 0.0000
7.1034 5.8448 0.0000
0.0000 0.0000 2.5823
4.3161 4.3161 2.5823
1.0825 5.3986 2.5823
3.2336 1.0825 2.5823
5.3986 7.5497 2.5823
7.5497 3.2336 2.5823
```

ρ: 6.6 Mg/m³
Total magnetic moment: 0.000 μB/atom

***

Which structure is the least stable? The one labeled ii).

***

i) VASP calculation (PBE) on a relaxed Ba2GaBiP crystal.

Cell and atoms, written as POSCAR:
```
Ba2GaBiP
1.0
6.6678 0.0000 0.0000
0.0000 6.6678 0.0000
0.0000 0.0000 5.2615
Ba Ga Bi P
2 1 1 1
Cartesian
0.0000 3.3339 0.0000
3.3339 0.0000 0.0000
0.0000 0.0000 2.6308
3.3339 3.3339 0.0000
3.3339 3.3339 2.6308
```

ρ: 4.1 Mg/m³
Total magnetic moment: 0.000 μB/atom

***

ii) VASP calculation (PBE) on a relaxed Ba2GaBiP crystal.

Cell and atoms, written as POSCAR:
```
Ba2GaBiP
1.0
7.7732 0.0000 0.0000
0.0000 4.7559 0.0000
-3.1905 0.0000 9.8024
Ba Ga Bi P
4 2 2 2
Cartesian
0.4158 1.1890 3.8391
-1.2631 1.1890 9.6045
5.8457 3.5669 0.1979
4.1669 3.5669 5.9633
2.9035 3.5669 2.5904
1.6792 1.1890 7.2120
0.2101 3.5669 6.8742
4.3726 1.1890 2.9282
0.7912 3.5669 1.6804
3.7915 1.1890 8.1220
```

ρ: 5.4 Mg/m³
Total magnetic moment: 0.000 μB/atom

***

Which structure is the least stable? The one labeled i).

***

i) VASP calculation (PBE) on a relaxed Ba2GaBiS5 crystal.

Cell and atoms, written as POSCAR:
```
Ba2GaBiS5
1.0
2.0566 -9.1566 0.0000
2.0566 9.1566 0.0000
0.0000 0.0000 13.2108
Ba Ga Bi S
4 2 2 10
Cartesian
2.0566 7.0389 6.6054
2.0566 6.8056 1.9183
2.0566 -6.8056 8.5237
2.0566 -7.0389 0.0000
2.0566 0.9853 3.1347
2.0566 -0.9853 9.7401
2.0566 5.4329 11.2013
2.0566 -5.4329 4.5959
2.0566 8.5926 10.9504
2.0566 3.8190 6.4802
2.0566 3.2488 2.5553
2.0566 2.8181 10.8964
2.0566 0.0809 7.7546
2.0566 -0.0809 1.1492
2.0566 -2.8181 4.2910
2.0566 -3.2488 9.1607
2.0566 -3.8190 13.0856
2.0566 -8.5926 4.3450
```

ρ: 4.8 Mg/m³
Total magnetic moment: 0.000 μB/atom

***

ii) VASP calculation (PBE) on a relaxed Ba2GaBiS5 crystal.

Cell and atoms, written as POSCAR:
```
Ba2GaBiS5
1.0
12.3422 0.0000 0.0000
0.0000 8.9537 0.0000
0.0000 0.0000 9.1710
Ba Ga Bi S
8 4 4 20
Cartesian
2.1885 0.0639 1.0764
2.1885 4.4130 1.0764
3.9826 4.5408 5.6619
3.9826 8.8898 5.6619
8.3596 0.0639 3.5091
8.3596 4.4130 3.5091
10.1537 4.5408 8.0947
10.1537 8.8898 8.0947
1.1756 6.7153 7.5707
4.9955 2.2384 2.9851
7.3467 6.7153 6.1859
11.1666 2.2384 1.6004
0.2179 6.7153 4.2619
5.9532 2.2384 8.8475
6.3890 6.7153 0.3236
12.1243 2.2384 4.9091
0.0781 2.2384 8.9225
0.6861 4.9082 6.1831
0.6861 8.5224 6.1831
2.6345 6.7153 3.4110
2.7801 2.2384 3.4680
3.3910 6.7153 8.0536
3.5366 2.2384 7.9965
5.4850 0.4313 1.5976
5.4850 4.0455 1.5976
6.0930 6.7153 4.3370
6.2492 2.2384 4.8341
6.8572 4.9082 7.5734
6.8572 8.5224 7.5734
8.8056 6.7153 1.1746
8.9511 2.2384 1.1175
9.5621 6.7153 5.7030
9.7077 2.2384 5.7601
11.6561 0.4313 2.9879
11.6561 4.0455 2.9879
12.2641 6.7153 0.2485
```

ρ: 4.7 Mg/m³
Total magnetic moment: 0.000 μB/atom

***

Which structure is the least stable? The one labeled i).